[1]
Entry from Alexandria: a relaxed BeBIrRu2 crystal (PBE).

Properties
Calculated total energy   -0.4285 Ry/atom
Crystal system   tetragonal
N(E_F)   6.02 states/eV per cell
Symmetry   P4/mmm
Energy of formation from the pure elements   1.7337 eV/atom

```
BeBIrRu2
1.0
4.748 0.000 0.000
0.000 4.748 0.000
0.000 0.000 3.938
Be B Ir Ru
1 1 1 2
direct
0.000 0.000 0.000
0.500 0.500 0.000
0.500 0.500 0.500
0.000 0.500 0.500
0.500 0.000 0.500
```

---

[2]
Entry from Alexandria: a relaxed Sc2BeB2Ir5 crystal (PBE).

Properties
Calculated total energy   -0.6042 Ry/atom
Crystal system   tetragonal
N(E_F)   5.30 states/eV per cell
Symmetry   P4/mbm
Energy of formation from the pure elements   -0.8163 eV/atom

```
Sc2BeB2Ir5
1.0
9.330 0.000 0.000
0.000 9.330 0.000
0.000 0.000 2.969
Sc Be B Ir
4 2 4 10
direct
0.177 0.323 0.000
0.323 0.823 0.000
0.677 0.177 0.000
0.823 0.677 0.000
0.000 0.000 0.000
0.500 0.500 0.000
0.128 0.628 0.000
0.372 0.128 0.000
0.628 0.872 0.000
0.872 0.372 0.000
0.000 0.500 0.500
0.067 0.791 0.500
0.209 0.067 0.500
0.291 0.567 0.500
0.433 0.291 0.500
0.500 0.000 0.500
0.567 0.709 0.500
0.709 0.433 0.500
0.791 0.933 0.500
0.933 0.209 0.500
```

---

[3]
Entry from Alexandria: a relaxed Sc2BeBIr crystal (PBE).

Properties
Calculated total energy   -0.4268 Ry/atom
Crystal system   tetragonal
N(E_F)   2.74 states/eV per cell
Symmetry   P4/mmm
Energy of formation from the pure elements   0.5782 eV/atom

```
Sc2BeBIr
1.0
4.949 0.000 0.000
0.000 4.949 0.000
0.000 0.000 4.145
Sc Be B Ir
2 1 1 1
direct
0.000 0.500 0.000
0.500 0.000 0.000
0.000 0.000 0.500
0.500 0.500 0.500
0.000 0.000 0.000
```

---

[4]
Entry from Alexandria: a relaxed TbBe2BIr crystal (PBE).

Properties
Calculated total energy   -0.4358 Ry/atom
Crystal system   orthorhombic
N(E_F)   2.81 states/eV per cell
Symmetry   Imm2
Energy of formation from the pure elements   -0.4054 eV/atom

```
TbBe2BIr
1.0
-1.780 1.826 5.038
1.780 -1.826 5.038
1.780 1.826 -5.038
Tb Be B Ir
1 2 1 1
direct
0.000 0.000 0.000
0.627 0.627 0.000
0.767 0.267 0.500
0.381 0.381 0.000
0.261 0.761 0.500
```

---

[5]
Entry from Alexandria: a relaxed Tb2BeB2Ir5 crystal (PBE).

Properties
Calculated total energy   -0.5661 Ry/atom
Crystal system   tetragonal
N(E_F)   5.90 states/eV per cell
Symmetry   P4/mbm
Energy of formation from the pure elements   -0.6373 eV/atom

```
Tb2BeB2Ir5
1.0
9.550 0.000 0.000
0.000 9.550 0.000
0.000 0.000 3.084
Tb Be B Ir
4 2 4 10
direct
0.178 0.322 0.000
0.322 0.822 0.000
0.678 0.178 0.000
0.822 0.678 0.000
0.000 0.000 0.000
0.500 0.500 0.000
0.124 0.624 0.000
0.376 0.124 0.000
0.624 0.876 0.000
0.876 0.376 0.000
0.000 0.500 0.500
0.066 0.787 0.500
0.213 0.066 0.500
0.287 0.566 0.500
0.434 0.287 0.500
0.500 0.000 0.500
0.566 0.713 0.500
0.713 0.434 0.500
0.787 0.934 0.500
0.934 0.213 0.500
```

---

[6]
Entry from Alexandria: a relaxed BeBTe2Ir crystal (PBE).

Properties
Calculated total energy   -0.2753 Ry/atom
Formation energy (no corrections)   6.8 eV/f.u.
Crystal system   tetragonal
N(E_F)   2.30 states/eV per cell
Symmetry   P4/mmm

```
BeBTe2Ir
1.0
4.946 0.000 0.000
0.000 4.946 0.000
0.000 0.000 4.090
Be B Te Ir
1 1 2 1
direct
0.000 0.000 0.000
0.500 0.500 0.500
0.000 0.500 0.000
0.500 0.000 0.000
0.000 0.000 0.500
```

---

[7]
Entry from Alexandria: a relaxed ThBeBIr3 crystal (PBE).

Properties
Calculated total energy   -0.5888 Ry/atom
Crystal system   orthorhombic
N(E_F)   1.24 states/eV per cell
Symmetry   Cmcm
Energy of formation from the pure elements   -0.6097 eV/atom

```
ThBeBIr3
1.0
2.857 -5.800 0.000
2.857 5.800 0.000
0.000 0.000 5.730
Th Be B Ir
2 2 2 6
direct
0.239 0.761 0.750
0.761 0.239 0.250
0.116 0.884 0.250
0.884 0.116 0.750
0.496 0.504 0.250
0.504 0.496 0.750
0.239 0.239 0.000
0.239 0.239 0.500
0.309 0.691 0.250
0.691 0.309 0.750
0.761 0.761 0.000
0.761 0.761 0.500
```

---

[8]
Entry from Alexandria: a relaxed Ti2BeBIr crystal (PBE).

Properties
Calculated total energy   -0.5292 Ry/atom
Crystal system   tetragonal
N(E_F)   2.50 states/eV per cell
Symmetry   P4/mmm
Energy of formation from the pure elements   -0.1890 eV/atom

```
Ti2BeBIr
1.0
4.191 0.000 0.000
0.000 4.191 0.000
0.000 0.000 3.995
Ti Be B Ir
2 1 1 1
direct
0.000 0.500 0.000
0.500 0.000 0.000
0.000 0.000 0.500
0.500 0.500 0.000
0.500 0.500 0.500
```

---

[9]
Entry from Alexandria: a relaxed Tm2BeB2Ir5 crystal (PBE).

Properties
Calculated total energy   -0.5705 Ry/atom
Crystal system   tetragonal
N(E_F)   7.22 states/eV per cell
Symmetry   P4/mbm
Energy of formation from the pure elements   -0.7296 eV/atom

```
Tm2BeB2Ir5
1.0
9.475 0.000 0.000
0.000 9.475 0.000
0.000 0.000 3.052
Tm Be B Ir
4 2 4 10
direct
0.177 0.323 0.000
0.323 0.823 0.000
0.677 0.177 0.000
0.823 0.677 0.000
0.000 0.000 0.000
0.500 0.500 0.000
0.126 0.626 0.000
0.374 0.126 0.000
0.626 0.874 0.000
0.874 0.374 0.000
0.000 0.500 0.500
0.066 0.789 0.500
0.211 0.066 0.500
0.289 0.566 0.500
0.434 0.289 0.500
0.500 0.000 0.500
0.566 0.711 0.500
0.711 0.434 0.500
0.789 0.934 0.500
0.934 0.211 0.500
```

---

[10]
Entry from Alexandria: a relaxed Y2BeB2Ir5 crystal (PBE).

Properties
Calculated total energy   -0.5934 Ry/atom
Crystal system   tetragonal
N(E_F)   6.79 states/eV per cell
Symmetry   P4/mbm
Energy of formation from the pure elements   -0.6419 eV/atom

```
Y2BeB2Ir5
1.0
9.547 0.000 0.000
0.000 9.547 0.000
0.000 0.000 3.074
Y Be B Ir
4 2 4 10
direct
0.178 0.322 0.000
0.322 0.822 0.000
0.678 0.178 0.000
0.822 0.678 0.000
0.000 0.000 0.000
0.500 0.500 0.000
0.125 0.625 0.000
0.375 0.125 0.000
0.625 0.875 0.000
0.875 0.375 0.000
0.000 0.500 0.500
0.066 0.788 0.500
0.212 0.066 0.500
0.288 0.566 0.500
0.434 0.288 0.500
0.500 0.000 0.500
0.566 0.712 0.500
0.712 0.434 0.500
0.788 0.934 0.500
0.934 0.212 0.500
```

---

[11]
Entry from Alexandria: a relaxed BeZn2B2Ir5 crystal (PBE).

Properties
Calculated total energy   -0.4912 Ry/atom
Crystal system   tetragonal
N(E_F)   10.20 states/eV per cell
Symmetry   P4/mbm
Energy of formation from the pure elements   -0.2894 eV/atom

```
BeZn2B2Ir5
1.0
9.250 0.000 0.000
0.000 9.250 0.000
0.000 0.000 2.862
Be Zn B Ir
2 4 4 10
direct
0.000 0.000 0.000
0.500 0.500 0.000
0.176 0.324 0.000
0.324 0.824 0.000
0.676 0.176 0.000
0.824 0.676 0.000
0.132 0.632 0.000
0.368 0.132 0.000
0.632 0.868 0.000
0.868 0.368 0.000
0.000 0.500 0.500
0.072 0.796 0.500
0.204 0.072 0.500
0.296 0.572 0.500
0.428 0.296 0.500
0.500 0.000 0.500
0.572 0.704 0.500
0.704 0.428 0.500
0.796 0.928 0.500
0.928 0.204 0.500
```

---

[12]
Entry from Alexandria: a relaxed Zr2BeBIr6 crystal (PBE).

Properties
Calculated total energy   -0.6325 Ry/atom
Crystal system   tetragonal
N(E_F)   3.85 states/eV per cell
Symmetry   I4/mmm
Energy of formation from the pure elements   -0.5396 eV/atom

```
Zr2BeBIr6
1.0
-2.962 2.962 4.194
2.962 -2.962 4.194
2.962 2.962 -4.194
Zr Be B Ir
2 1 1 6
direct
0.250 0.750 0.500
0.750 0.250 0.500
0.000 0.000 0.000
0.500 0.500 0.000
0.253 0.253 0.000
0.253 0.253 0.506
0.253 0.747 0.000
0.747 0.253 0.000
0.747 0.747 0.000
0.747 0.747 0.494
```

---

Number 1: total magnetization 0.00 μB per cell. Number 2: total magnetization 0.00 μB per cell. Number 3: total magnetization 0.00 μB per cell. Number 4: total magnetization 0.00 μB per cell. Number 5: total magnetization 0.00 μB per cell. Number 6: total magnetization 0.00 μB per cell. Number 7: total magnetization 0.00 μB per cell. Number 8: total magnetization 0.00 μB per cell. Number 9: total magnetization 0.00 μB per cell. Number 10: total magnetization 0.00 μB per cell. Number 11: total magnetization 0.00 μB per cell. Number 12: total magnetization 0.00 μB per cell.